Density functional theory data (PBE) for a relaxed YMgV3 crystal.

## Properties
- DOS at the Fermi energy: 7.8 states/eV/f.u.
- Space group: Pm-3m, No. 221
- Energy of formation from the pure elements: 1.83 eV/atom
- Calculated volume: 22.107 Å³/atom
- E: -26.28 eV for the cell shown
- Energy relative to the lowest polymorph listed for this composition: 442.1 meV/atom

a b c (Å): 4.799 4.799 4.799
angles (deg): 90.00 90.00 90.00
Fractional positions:
1 Y 0.000 0.000 0.000
2 Mg 0.500 0.500 0.500
3 V 0.000 0.500 0.000
4 V 0.000 0.000 0.500
5 V 0.500 0.000 0.000

---

Density functional theory data (PBE) for a relaxed Sr2ErTlBr8 crystal.

## Properties
- DOS at the Fermi energy: 0.0 states/eV/f.u.
- Space group: P2/m, No. 10
- Calculated volume: 38.733 Å³/atom
- E: -45.29 eV for the cell shown
- ΔE_f (raw): -1.8011 eV/atom

a b c (Å): 7.174 6.870 9.431
angles (deg): 89.99 90.00 89.93
Fractional positions:
1 Sr 0.500 0.500 0.750
2 Sr 0.500 0.500 0.250
3 Er 0.000 0.000 0.000
4 Tl 0.000 0.000 0.500
5 Br 0.158 0.771 0.210
6 Br 0.681 0.750 0.000
7 Br 0.842 0.229 0.210
8 Br 0.842 0.229 0.790
9 Br 0.319 0.250 0.000
10 Br 0.158 0.771 0.790
11 Br 0.634 0.733 0.500
12 Br 0.366 0.267 0.500

---

Density functional theory data (PBE) for a relaxed LaSm4Al4 crystal.

## Properties
- DOS at the Fermi energy: 9.1 states/eV/f.u.
- Space group: I4/m, No. 87
- Energy of formation from the pure elements: -0.16 eV/atom
- Calculated volume: 29.081 Å³/atom
- E: -80.51 eV for the cell shown

a b c (Å): 5.243 9.992 9.992
angles (deg): 90.00 90.00 90.00
Fractional positions:
1 La 0.000 0.000 0.000
2 La 0.500 0.500 0.500
3 Sm 0.500 0.387 0.850
4 Sm 0.000 0.650 0.887
5 Sm 0.500 0.613 0.150
6 Sm 0.000 0.113 0.650
7 Sm 0.500 0.850 0.613
8 Sm 0.000 0.887 0.350
9 Sm 0.000 0.350 0.113
10 Sm 0.500 0.150 0.387
11 Al 0.500 0.925 0.176
12 Al 0.500 0.075 0.824
13 Al 0.000 0.676 0.575
14 Al 0.000 0.425 0.676
15 Al 0.000 0.575 0.324
16 Al 0.500 0.176 0.075
17 Al 0.500 0.824 0.925
18 Al 0.000 0.324 0.425

---

Density functional theory data (PBE) for a relaxed La3HfSb crystal.

## Properties
- DOS at the Fermi energy: 4.8 states/eV/f.u.
- Space group: Pm-3m, No. 221
- Calculated volume: 35.398 Å³/atom
- E: -27.75 eV for the cell shown
- Energy relative to the lowest polymorph listed for this composition: 0.0 meV/atom
- ΔE_f (raw): 0.2217 eV/atom

a b c (Å): 5.615 5.615 5.615
angles (deg): 90.00 90.00 90.00
Fractional positions:
1 Sb 0.500 0.500 0.500
2 Hf 0.000 0.000 0.000
3 La 0.000 0.500 0.000
4 La 0.000 0.000 0.500
5 La 0.500 0.000 0.000

---

Density functional theory data (PBE) for a relaxed AlSbAu crystal.

## Properties
- DOS at the Fermi energy: 1.8 states/eV/f.u.
- Space group: F-43m, No. 216
- Calculated volume: 23.306 Å³/atom
- E: -11.27 eV for the cell shown
- Energy relative to the lowest polymorph listed for this composition: 54.6 meV/atom
- ΔE_f (raw): -0.0430 eV/atom

a b c (Å): 4.624 4.624 4.624
angles (deg): 60.00 60.00 60.00
Fractional positions:
1 Sb 0.000 0.000 0.000
2 Au 0.750 0.750 0.750
3 Al 0.500 0.500 0.500

---

Density functional theory data (PBE) for a relaxed LiPt2Br crystal.

## Properties
- DOS at the Fermi energy: 1.9 states/eV/f.u.
- Space group: Cmmm, No. 65
- Calculated volume: 16.656 Å³/atom
- E: -14.96 eV for the cell shown
- Energy relative to the lowest polymorph listed for this composition: 405.7 meV/atom
- ΔE_f (raw): 0.1759 eV/atom

a b c (Å): 4.931 4.931 2.936
angles (deg): 90.00 90.00 111.08
Fractional positions:
1 Br 0.500 0.000 0.500
2 Li 0.000 0.500 0.500
3 Pt 0.000 0.000 0.000
4 Pt 0.500 0.500 0.000

---

Density functional theory data (PBE) for a relaxed K2CrSbS crystal.

## Properties
- DOS at the Fermi energy: 2.5 states/eV/f.u.
- Space group: P4/mmm, No. 123
- Calculated volume: 36.694 Å³/atom
- E: -18.83 eV for the cell shown
- ΔE_f (raw): 0.2473 eV/atom

a b c (Å): 5.832 5.394 5.832
angles (deg): 90.00 90.00 90.00
Fractional positions:
1 Sb 0.000 0.500 0.000
2 K 0.000 0.000 0.500
3 K 0.500 0.000 0.000
4 S 0.000 0.000 0.000
5 Cr 0.500 0.500 0.500

---

Density functional theory data (PBE) for a relaxed K3AlH6 crystal.

## Properties
- DOS at the Fermi energy: 0.0 states/eV/f.u.
- Space group: I4/mmm, No. 139
- Calculated volume: 15.277 Å³/atom
- E: -28.94 eV for the cell shown

a b c (Å): 6.133 6.133 6.133
angles (deg): 123.76 123.76 83.59
Fractional positions:
1 Al 0.000 0.000 0.000
2 H 0.790 0.790 0.000
3 H 0.210 0.210 0.000
4 H 0.298 0.000 0.298
5 H 0.702 0.000 0.702
6 H 0.000 0.298 0.298
7 H 0.000 0.702 0.702
8 K 0.500 0.500 0.000
9 K 0.750 0.250 0.500
10 K 0.250 0.750 0.500

---

Density functional theory data (PBE) for a relaxed CoTe3N crystal.

## Properties
- DOS at the Fermi energy: 7.7 states/eV/f.u.
- Space group: Pm-3m, No. 221
- Calculated volume: 25.929 Å³/atom
- E: -18.19 eV for the cell shown
- Energy relative to the lowest polymorph listed for this composition: 279.5 meV/atom
- ΔE_f (raw): 1.3325 eV/atom

a b c (Å): 5.061 5.061 5.061
angles (deg): 90.00 90.00 90.00
Fractional positions:
1 Co 0.000 0.000 0.000
2 Te 0.000 0.500 0.000
3 Te 0.000 0.000 0.500
4 Te 0.500 0.000 0.000
5 N 0.500 0.500 0.500

---

Density functional theory data (PBE) for a relaxed BeTlIn2 crystal.

## Properties
- DOS at the Fermi energy: 1.9 states/eV/f.u.
- Space group: Cmmm, No. 65
- Energy of formation from the pure elements: 0.31 eV/atom
- Calculated volume: 25.173 Å³/atom
- E: -10.32 eV for the cell shown
- Energy relative to the lowest polymorph listed for this composition: 21.7 meV/atom

a b c (Å): 3.998 5.595 5.593
angles (deg): 53.59 90.00 90.00
Fractional positions:
1 Be 0.500 0.750 0.750
2 Tl 0.500 0.250 0.250
3 In 0.000 0.917 0.916
4 In 0.000 0.583 0.584

---

Density functional theory data (PBE) for a relaxed RbCa2Au crystal.

## Properties
- DOS at the Fermi energy: 6.3 states/eV/f.u.
- Space group: Fm-3m, No. 225
- Energy of formation from the pure elements: 0.00 eV/atom
- Calculated volume: 31.980 Å³/atom
- E: -8.25 eV for the cell shown
- Energy relative to the lowest polymorph listed for this composition: 292.6 meV/atom

a b c (Å): 5.656 5.656 5.656
angles (deg): 60.00 60.00 60.00
Fractional positions:
1 Ca 0.250 0.250 0.250
2 Ca 0.750 0.750 0.750
3 Au 0.500 0.500 0.500
4 Rb 0.000 0.000 0.000

---

Density functional theory data (PBE) for a relaxed BTePb2S crystal.

## Properties
- DOS at the Fermi energy: 1.8 states/eV/f.u.
- Space group: P4/mmm, No. 123
- Calculated volume: 25.974 Å³/atom
- E: -18.65 eV for the cell shown
- ΔE_f (raw): 0.5420 eV/atom

a b c (Å): 5.424 4.414 5.424
angles (deg): 90.00 90.00 90.00
Fractional positions:
1 Pb 0.000 0.000 0.500
2 Pb 0.500 0.000 0.000
3 S 0.500 0.500 0.500
4 Te 0.000 0.500 0.000
5 B 0.000 0.000 0.000

---

Density functional theory data (PBE) for a relaxed Sm5TmMg crystal.

## Properties
- DOS at the Fermi energy: 11.4 states/eV/f.u.
- Space group: C2/m, No. 12
- Energy of formation from the pure elements: 0.91 eV/atom
- Calculated volume: 43.069 Å³/atom
- E: -23.32 eV for the cell shown

a b c (Å): 5.932 9.527 9.527
angles (deg): 54.25 49.89 49.89
Fractional positions:
1 Sm 0.608 0.249 0.249
2 Sm 0.000 0.325 0.675
3 Sm 0.500 0.000 0.000
4 Sm 0.000 0.675 0.325
5 Sm 0.392 0.751 0.751
6 Tm 0.500 0.500 0.500
7 Mg 0.000 0.000 0.000

---

Density functional theory data (PBE) for a relaxed Sr4Bi2S crystal.

## Properties
- Space group: Cmce, No. 64
- Calculated volume: 38.659 Å³/atom
- E: -54.16 eV for the cell shown
- Energy relative to the lowest polymorph listed for this composition: 0.0 meV/atom
- ΔE_f (raw): -1.2093 eV/atom

a b c (Å): 7.655 8.264 9.373
angles (deg): 90.00 114.10 90.00
Fractional positions:
1 Sr 0.823 0.924 0.645
2 Sr 0.177 0.076 0.355
3 Sr 0.677 0.424 0.355
4 Sr 0.323 0.576 0.645
5 Sr 0.731 0.250 0.963
6 Sr 0.769 0.750 0.037
7 Sr 0.231 0.250 0.963
8 Sr 0.269 0.750 0.037
9 Bi 0.633 0.024 0.265
10 Bi 0.367 0.976 0.735
11 Bi 0.867 0.524 0.735
12 Bi 0.133 0.476 0.265
13 S 0.000 0.000 0.000
14 S 0.500 0.500 0.000

---

Density functional theory data (PBE) for a relaxed Zn2SbMo crystal.

## Properties
- DOS at the Fermi energy: 3.2 states/eV/f.u.
- Space group: I-42d, No. 122
- Calculated volume: 19.067 Å³/atom
- E: -30.50 eV for the cell shown
- ΔE_f (raw): 0.5632 eV/atom

a b c (Å): 7.561 7.561 5.975
angles (deg): 50.75 50.75 90.00
Fractional positions:
1 Sb 0.000 0.000 0.000
2 Sb 0.750 0.250 0.500
3 Mo 0.500 0.500 0.000
4 Mo 0.250 0.750 0.500
5 Zn 0.611 0.125 0.250
6 Zn 0.139 0.625 0.250
7 Zn 0.375 0.389 0.750
8 Zn 0.875 0.861 0.750

---

Density functional theory data (PBE) for a relaxed CrIrC2N crystal.

## Properties
- DOS at the Fermi energy: 6.9 states/eV/f.u.
- Space group: P4/mmm, No. 123
- Calculated volume: 14.818 Å³/atom
- E: -33.56 eV for the cell shown
- ΔE_f (raw): 2.3396 eV/atom

a b c (Å): 3.717 5.363 3.717
angles (deg): 90.00 90.00 90.00
Fractional positions:
1 Cr 0.000 0.500 0.000
2 C 0.000 0.000 0.500
3 C 0.500 0.000 0.000
4 Ir 0.000 0.000 0.000
5 N 0.500 0.500 0.500

---

Density functional theory data (PBE) for a relaxed FeCo2Mo crystal.

## Properties
- DOS at the Fermi energy: 4.5 states/eV/f.u.
- Space group: Cm, No. 8
- Energy of formation from the pure elements: 0.11 eV/atom
- Calculated volume: 12.199 Å³/atom
- E: -33.05 eV for the cell shown
- Energy relative to the lowest polymorph listed for this composition: 97.6 meV/atom

a b c (Å): 4.482 4.482 4.420
angles (deg): 79.84 79.84 33.99
Fractional positions:
1 Co 0.009 0.009 0.995
2 Co 0.746 0.746 0.746
3 Fe 0.492 0.492 0.521
4 Mo 0.254 0.254 0.239

---

Density functional theory data (PBE) for a relaxed La5ZnNi2 crystal.

## Properties
- DOS at the Fermi energy: 10.5 states/eV/f.u.
- Space group: I4/mcm, No. 140
- Energy of formation from the pure elements: -0.23 eV/atom
- Calculated volume: 27.010 Å³/atom
- E: -78.66 eV for the cell shown

a b c (Å): 8.067 8.067 8.754
angles (deg): 117.43 117.43 90.00
Fractional positions:
1 La 0.520 0.699 0.720
2 La 0.801 0.980 0.280
3 La 0.000 0.000 0.000
4 La 0.500 0.500 0.000
5 La 0.199 0.020 0.720
6 La 0.699 0.199 0.720
7 La 0.020 0.520 0.720
8 La 0.301 0.801 0.280
9 La 0.980 0.480 0.280
10 La 0.480 0.301 0.280
11 Zn 0.750 0.750 0.500
12 Zn 0.250 0.250 0.500
13 Ni 0.120 0.380 0.000
14 Ni 0.620 0.120 0.000
15 Ni 0.380 0.880 0.000
16 Ni 0.880 0.620 0.000

---

Density functional theory data (PBE) for a relaxed NiPtBr2 crystal.

## Properties
- DOS at the Fermi energy: 0.0 states/eV/f.u.
- Space group: Cm, No. 8
- Calculated volume: 22.889 Å³/atom
- E: -15.41 eV for the cell shown
- Energy relative to the lowest polymorph listed for this composition: 0.0 meV/atom
- ΔE_f (raw): -0.0593 eV/atom

a b c (Å): 3.629 3.629 8.311
angles (deg): 77.04 77.04 60.00
Fractional positions:
1 Br 0.962 0.962 0.119
2 Br 0.782 0.782 0.645
3 Ni 0.575 0.575 0.279
4 Pt 0.181 0.181 0.456

---

Density functional theory data (PBE) for a relaxed LiAcPrAs crystal.

## Properties
- DOS at the Fermi energy: 4.6 states/eV/f.u.
- Space group: F-43m, No. 216
- Energy of formation from the pure elements: -0.44 eV/atom
- Calculated volume: 27.439 Å³/atom
- E: -17.22 eV for the cell shown

a b c (Å): 5.374 5.374 5.374
angles (deg): 60.00 60.00 60.00
Fractional positions:
1 Pr 0.750 0.750 0.750
2 Ac 0.250 0.250 0.250
3 As 0.500 0.500 0.500
4 Li 0.000 0.000 0.000

---

Density functional theory data (PBE) for a relaxed TeRu2 crystal.

## Properties
- DOS at the Fermi energy: 4.5 states/eV/f.u.
- Space group: I4_1/amd, No. 141
- Calculated volume: 18.885 Å³/atom
- E: -39.35 eV for the cell shown
- Energy relative to the lowest polymorph listed for this composition: 559.3 meV/atom
- ΔE_f (raw): 0.6730 eV/atom

a b c (Å): 8.414 8.414 8.414
angles (deg): 154.12 154.12 36.92
Fractional positions:
1 Te 0.000 0.000 0.000
2 Te 0.750 0.250 0.500
3 Ru 0.577 0.577 0.000
4 Ru 0.173 0.673 0.500
5 Ru 0.423 0.423 0.000
6 Ru 0.327 0.827 0.500

---

Density functional theory data (PBE) for a relaxed Sr2CdAg crystal.

## Properties
- DOS at the Fermi energy: 2.8 states/eV/f.u.
- Space group: C2/m, No. 12
- Energy of formation from the pure elements: -0.29 eV/atom
- Calculated volume: 31.901 Å³/atom
- E: -8.28 eV for the cell shown

a b c (Å): 8.973 5.691 3.940
angles (deg): 89.91 64.08 129.57
Fractional positions:
1 Sr 0.000 0.000 0.000
2 Sr 0.500 0.000 0.500
3 Ag 0.000 0.500 0.500
4 Cd 0.500 0.500 0.000

---

Density functional theory data (PBE) for a relaxed ScPd2I crystal.

## Properties
- DOS at the Fermi energy: 0.0 states/eV/f.u.
- Space group: I-42d, No. 122
- Calculated volume: 27.868 Å³/atom
- E: -36.75 eV for the cell shown
- Energy relative to the lowest polymorph listed for this composition: 217.1 meV/atom
- ΔE_f (raw): -0.0266 eV/atom

a b c (Å): 6.383 6.383 7.093
angles (deg): 63.26 63.26 90.00
Fractional positions:
1 I 0.000 0.000 0.000
2 I 0.750 0.250 0.500
3 Sc 0.500 0.500 0.000
4 Sc 0.250 0.750 0.500
5 Pd 0.606 0.125 0.250
6 Pd 0.144 0.625 0.250
7 Pd 0.375 0.394 0.750
8 Pd 0.875 0.856 0.750

---

Density functional theory data (PBE) for a relaxed YEr3Tm8 crystal.

## Properties
- DOS at the Fermi energy: 11.3 states/eV/f.u.
- Space group: I4/mmm, No. 139
- Energy of formation from the pure elements: 0.74 eV/atom
- Calculated volume: 36.362 Å³/atom
- E: -47.10 eV for the cell shown

a b c (Å): 7.582 7.582 9.292
angles (deg): 114.08 114.08 90.00
Fractional positions:
1 Y 0.000 0.000 0.000
2 Er 0.250 0.750 0.500
3 Er 0.500 0.500 0.000
4 Er 0.750 0.250 0.500
5 Tm 0.874 0.377 0.251
6 Tm 0.377 0.377 0.251
7 Tm 0.126 0.126 0.749
8 Tm 0.623 0.126 0.749
9 Tm 0.377 0.874 0.251
10 Tm 0.874 0.874 0.251
11 Tm 0.623 0.623 0.749
12 Tm 0.126 0.623 0.749

---

Density functional theory data (PBE) for a relaxed Re5Si crystal.

## Properties
- DOS at the Fermi energy: 2.2 states/eV/f.u.
- Space group: P-62m, No. 189
- Calculated volume: 14.597 Å³/atom
- E: -67.76 eV for the cell shown
- Energy relative to the lowest polymorph listed for this composition: 0.0 meV/atom
- ΔE_f (raw): -0.0162 eV/atom

a b c (Å): 4.743 4.743 4.496
angles (deg): 90.00 90.00 120.00
Fractional positions:
1 Re 0.678 0.000 0.000
2 Re 0.322 0.322 0.000
3 Re 0.000 0.678 0.000
4 Re 0.667 0.333 0.500
5 Re 0.333 0.667 0.500
6 Si 0.000 0.000 0.500